Record 1
## OsPt2Pb (meta-GGA SCAN)

Data for a PBEsol-optimized structure of OsPt2Pb.

Properties
- crystal system = tetragonal
- DFT total energy (eV for the cell shown) = -285.94
- energy of formation from the pure elements (eV/atom) = 0.5256

Cell and atoms, written as CIF:
```
data_OsPt2Pb
_chemical_formula_sum 'Os1 Pt2 Pb1'
_cell_length_a 4.919
_cell_length_b 4.919
_cell_length_c 2.790
_cell_angle_alpha 90.00
_cell_angle_beta 90.00
_cell_angle_gamma 90.00
_space_group_name_H-M_alt 'P 4/m m m'
_space_group_IT_number 123
_space_group_name_Hall '-P 4 2'
loop_
_atom_site_label
_atom_site_fract_x
_atom_site_fract_y
_atom_site_fract_z
Os1 0.000 0.000 0.000
Pt1 0.000 0.500 0.500
Pb1 0.500 0.500 0.000
```

---

Record 2
## CaHgIr2 (meta-GGA SCAN)

Data for a PBEsol-optimized structure of CaHgIr2.

Properties
- crystal system = orthorhombic
- DFT total energy (eV for the cell shown) = -220.17
- energy of formation from the pure elements (eV/atom) = -0.0345

Cell and atoms, written as CIF:
```
data_CaHgIr2
_chemical_formula_sum 'Ca1 Hg1 Ir2'
_cell_length_a 2.864
_cell_length_b 3.824
_cell_length_c 7.002
_cell_angle_alpha 90.00
_cell_angle_beta 90.00
_cell_angle_gamma 90.00
_space_group_name_H-M_alt 'P m m 2'
_space_group_IT_number 25
_space_group_name_Hall 'P 2 -2'
loop_
_atom_site_label
_atom_site_fract_x
_atom_site_fract_y
_atom_site_fract_z
Ca1 0.000 0.000 0.000
Hg1 0.500 0.500 0.301
Ir1 0.000 0.000 0.581
Ir2 0.500 0.500 0.711
```

---

Record 3
## La4CdCl (meta-GGA SCAN)

Data for a PBEsol-optimized structure of La4CdCl.

Properties
- crystal system = cubic
- DFT total energy (eV for the cell shown) = -843.03
- formation energy without anion corrections (eV/f.u.) = 0.06

Cell and atoms, written as CIF:
```
data_La4CdCl
_chemical_formula_sum 'La16 Cd4 Cl4'
_cell_length_a 8.977
_cell_length_b 8.977
_cell_length_c 8.977
_cell_angle_alpha 90.00
_cell_angle_beta 90.00
_cell_angle_gamma 90.00
_space_group_name_H-M_alt 'F -4 3 m'
_space_group_IT_number 216
_space_group_name_Hall 'F -4 2 3'
loop_
_atom_site_label
_atom_site_fract_x
_atom_site_fract_y
_atom_site_fract_z
La1 0.123 0.123 0.123
Cd1 0.250 0.250 0.750
Cl1 0.000 0.000 0.500
```

---

Record 4
## Ga3IF (meta-GGA SCAN)

Data for a PBEsol-optimized structure of Ga3IF.

Properties
- crystal system = cubic
- DFT total energy (eV for the cell shown) = -90.99
- formation energy without anion corrections (eV/f.u.) = -1.67
- energy above the lowest structure with this stoichiometry (meV/atom) = 0

Cell and atoms, written as CIF:
```
data_Ga3IF
_chemical_formula_sum 'Ga3 I1 F1'
_cell_length_a 4.905
_cell_length_b 4.905
_cell_length_c 4.905
_cell_angle_alpha 90.00
_cell_angle_beta 90.00
_cell_angle_gamma 90.00
_space_group_name_H-M_alt 'P m -3 m'
_space_group_IT_number 221
_space_group_name_Hall '-P 4 2 3'
loop_
_atom_site_label
_atom_site_fract_x
_atom_site_fract_y
_atom_site_fract_z
Ga1 0.000 0.000 0.500
I1 0.500 0.500 0.500
F1 0.000 0.000 0.000
```

---

Record 5
## Ba3ZrSc (meta-GGA SCAN)

Data for a PBEsol-optimized structure of Ba3ZrSc.

Properties
- crystal system = cubic
- DFT total energy (eV for the cell shown) = -158.68
- energy of formation from the pure elements (eV/atom) = 0.9821

Cell and atoms, written as CIF:
```
data_Ba3ZrSc
_chemical_formula_sum 'Ba3 Zr1 Sc1'
_cell_length_a 6.078
_cell_length_b 6.078
_cell_length_c 6.078
_cell_angle_alpha 90.00
_cell_angle_beta 90.00
_cell_angle_gamma 90.00
_space_group_name_H-M_alt 'P m -3 m'
_space_group_IT_number 221
_space_group_name_Hall '-P 4 2 3'
loop_
_atom_site_label
_atom_site_fract_x
_atom_site_fract_y
_atom_site_fract_z
Ba1 0.000 0.000 0.500
Zr1 0.000 0.000 0.000
Sc1 0.500 0.500 0.500
```

---

Record 6
## InHgWI2 (meta-GGA SCAN)

Data for a PBEsol-optimized structure of InHgWI2.

Properties
- crystal system = tetragonal
- DFT total energy (eV for the cell shown) = -241.65
- formation energy without anion corrections (eV/f.u.) = 3.07

Cell and atoms, written as CIF:
```
data_InHgWI2
_chemical_formula_sum 'In1 Hg1 W1 I2'
_cell_length_a 5.323
_cell_length_b 5.323
_cell_length_c 5.469
_cell_angle_alpha 90.00
_cell_angle_beta 90.00
_cell_angle_gamma 90.00
_space_group_name_H-M_alt 'P 4/m m m'
_space_group_IT_number 123
_space_group_name_Hall '-P 4 2'
loop_
_atom_site_label
_atom_site_fract_x
_atom_site_fract_y
_atom_site_fract_z
In1 0.000 0.000 0.000
Hg1 0.500 0.500 0.000
W1 0.000 0.000 0.500
I1 0.000 0.500 0.500
```